Compound: TbLuTlSn
Source: the Alexandria database
Functional: PBE
Structure: optimized geometry

Lattice parameters (Å, degrees): 5.327 5.327 5.327 60.00 60.00 60.00
Fractional coordinates of all 4 atoms:
Sn: 0.250 0.250 0.250
Tl: 0.750 0.750 0.750
Tb: 0.000 0.000 0.000
Lu: 0.500 0.500 0.500

=====

Compound: TbLuZnSn
Source: the Alexandria database
Functional: PBE
Structure: optimized geometry

Lattice parameters (Å, degrees): 5.145 5.145 5.145 60.00 60.00 60.00
Fractional coordinates of all 4 atoms:
Sn: 0.250 0.250 0.250
Zn: 0.750 0.750 0.750
Lu: 0.000 0.000 0.000
Tb: 0.500 0.500 0.500

=====

Compound: LuTcSn2
Source: the Alexandria database
Functional: PBE
Structure: optimized geometry

Lattice parameters (Å, degrees): 3.373 3.373 7.396 90.00 90.00 90.00
Fractional coordinates of all 4 atoms:
Tc: 0.500 0.500 0.000
Lu: 0.500 0.500 0.500
Sn: 0.000 0.000 0.208
Sn: 0.000 0.000 0.792

Values from the calculation:
E above lowest polymorph, meV/atom: 0

=====

no.,DFT total energy (Ha/atom)
1,-0.1576
2,-0.1498
3,-0.2172